# Er2Sc6Tl GGA-PBE optimized geometry
data_Er2Sc6Tl
_chemical_formula_sum 'Er4 Sc12 Tl2'
_cell_length_a 3.2898
_cell_length_b 9.5820
_cell_length_c 14.8424
_cell_angle_alpha 90.00
_cell_angle_beta 90.00
_cell_angle_gamma 90.00
_space_group_name_H-M_alt 'I m m m'
_space_group_IT_number 71
_space_group_name_Hall '-I 2 2'
loop_
_atom_site_label
_atom_site_type_symbol
_atom_site_fract_x
_atom_site_fract_y
_atom_site_fract_z
Er1 Er 0.0000 0.0000 0.1483
Sc1 Sc 0.0000 0.2901 0.5000
Sc2 Sc 0.0000 0.3364 0.1792
Tl1 Tl 0.0000 0.5000 0.0000
# * energy of formation from the pure elements: 0.028 eV per atom
# * E: -5.470 eV/atom